# 1
{
  "formula": "AgTeOs",
  "functional": "PBE-GGA",
  "state": "optimized geometry",
  "magmom_total_mub_per_cell": 0.00,
  "volume_a3_per_atom": 20.8,
  "total_energy_ry_per_atom": -0.3746,
  "e_above_lowest_polymorph_mev_per_atom": 0.0,
  "cell": [[3.936, -1.871, 0.906], [0.168, -3.998, 1.951], [1.362, -3.550, -2.314]],
  "species": ["Ag", "Os", "Te"],
  "frac_coords": [[0.250, 0.250, 0.250], [0.000, 0.000, 0.000], [0.750, 0.750, 0.750]]
}

# 2
{
  "formula": "NaSmFeSe3",
  "functional": "PBE-GGA",
  "state": "optimized geometry",
  "magmom_total_mub_per_cell": 16.02,
  "volume_a3_per_atom": 23.9,
  "total_energy_ry_per_atom": -0.3848,
  "e_above_lowest_polymorph_mev_per_atom": 28.0,
  "cell": [[-1.777, -8.147, 7.639], [2.749, -2.459, -1.983], [8.935, 4.471, 6.839]],
  "species": ["Fe", "Fe", "Fe", "Fe", "Na", "Na", "Na", "Na", "Se", "Se", "Se", "Se", "Se", "Se", "Se", "Se", "Se", "Se", "Se", "Se", "Sm", "Sm", "Sm", "Sm"],
  "frac_coords": [[0.753, 0.750, 0.214], [0.253, 0.750, 0.286], [0.747, 0.250, 0.714], [0.247, 0.250, 0.786], [0.673, 0.250, 0.001], [0.174, 0.250, 0.499], [0.826, 0.750, 0.501], [0.327, 0.750, 0.999], [0.890, 0.750, 0.061], [0.554, 0.750, 0.148], [0.285, 0.250, 0.185], [0.785, 0.250, 0.315], [0.054, 0.750, 0.352], [0.390, 0.750, 0.439], [0.610, 0.250, 0.561], [0.946, 0.250, 0.648], [0.215, 0.750, 0.685], [0.715, 0.750, 0.815], [0.446, 0.250, 0.852], [0.110, 0.250, 0.939], [0.019, 0.250, 0.182], [0.519, 0.250, 0.318], [0.481, 0.750, 0.682], [0.981, 0.750, 0.818]]
}

# 3
{
  "formula": "Li3Zn",
  "functional": "PBE-GGA",
  "state": "optimized geometry",
  "volume_a3_per_atom": 15.6,
  "total_energy_ry_per_atom": -0.1346,
  "cell": [[2.759, -2.938, -3.557], [2.086, 3.210, 3.774], [-2.105, -4.736, -1.428]],
  "species": ["Li", "Li", "Li", "Zn"],
  "frac_coords": [[0.266, 0.005, 0.261], [0.156, 0.656, 0.500], [0.744, 0.005, 0.739], [0.667, 0.667, 0.000]]
}

# 4
{
  "formula": "Dy2TmFe6Co3",
  "functional": "PBE-GGA",
  "state": "optimized geometry",
  "magmom_total_mub_per_cell": 16.26,
  "volume_a3_per_atom": 14.8,
  "formation_enthalpy_0k_mev_per_atom": -124,
  "total_energy_ry_per_atom": -0.5288,
  "cell": [[2.934, -4.470, 6.756], [4.992, 0.109, 7.022], [0.271, -0.620, 8.590]],
  "species": ["Co", "Co", "Co", "Dy", "Dy", "Fe", "Fe", "Fe", "Fe", "Fe", "Fe", "Tm"],
  "frac_coords": [[0.332, 0.332, 0.332], [0.500, 0.500, 0.500], [0.668, 0.668, 0.668], [0.142, 0.142, 0.142], [0.858, 0.858, 0.858], [0.581, 0.581, 0.081], [0.919, 0.419, 0.419], [0.419, 0.919, 0.419], [0.581, 0.081, 0.581], [0.081, 0.581, 0.581], [0.419, 0.419, 0.919], [0.000, 0.000, 0.000]]
}

# 5
{
  "formula": "KTmSi",
  "functional": "PBE-GGA",
  "state": "optimized geometry",
  "magmom_total_mub_per_cell": 0.00,
  "volume_a3_per_atom": 31.4,
  "total_energy_ry_per_atom": -0.2560,
  "e_above_lowest_polymorph_mev_per_atom": 0.0,
  "cell": [[1.039, -3.205, 3.837], [-3.382, -3.595, 1.311], [0.991, -4.914, -0.975]],
  "species": ["K", "Si", "Tm"],
  "frac_coords": [[0.250, 0.250, 0.250], [0.000, 0.000, 0.000], [0.750, 0.750, 0.750]]
}

# 6
{
  "formula": "TaCuAs2",
  "functional": "PBE-GGA",
  "state": "optimized geometry",
  "magmom_total_mub_per_cell": 0.00,
  "volume_a3_per_atom": 16.6,
  "total_energy_ry_per_atom": -0.4260,
  "cell": [[0.000, 3.212, 3.212], [3.212, 0.000, 3.212], [3.212, 3.212, 0.000]],
  "species": ["As", "As", "Cu", "Ta"],
  "frac_coords": [[0.000, 0.000, 0.000], [0.750, 0.750, 0.750], [0.250, 0.250, 0.250], [0.500, 0.500, 0.500]]
}

# 7
{
  "formula": "Ho3Mg3Zn2Pd",
  "functional": "PBE-GGA",
  "state": "optimized geometry",
  "magmom_total_mub_per_cell": 0.20,
  "volume_a3_per_atom": 22.3,
  "total_energy_ry_per_atom": -0.2421,
  "cell": [[7.473, 0.000, 0.000], [-3.737, 6.472, 0.000], [0.000, 0.000, 4.141]],
  "species": ["Ho", "Ho", "Ho", "Mg", "Mg", "Mg", "Pd", "Zn", "Zn"],
  "frac_coords": [[0.591, 0.000, 0.000], [0.409, 0.409, 0.000], [0.000, 0.591, 0.000], [0.241, 0.000, 0.500], [0.000, 0.241, 0.500], [0.759, 0.759, 0.500], [0.000, 0.000, 0.000], [0.667, 0.333, 0.500], [0.333, 0.667, 0.500]]
}

# 8
{
  "formula": "PmPt2",
  "functional": "PBE-GGA",
  "state": "optimized geometry",
  "magmom_total_mub_per_cell": 1.99,
  "volume_a3_per_atom": 77.3,
  "formation_enthalpy_0k_mev_per_atom": 1136,
  "total_energy_ry_per_atom": -0.3295,
  "e_above_lowest_polymorph_mev_per_atom": 2200.7,
  "cell": [[4.345, 2.509, 7.096], [-4.345, 2.509, 7.096], [0.000, -5.017, 7.096]],
  "species": ["Pm", "Pm", "Pt", "Pt", "Pt", "Pt"],
  "frac_coords": [[0.250, 0.250, 0.250], [0.500, 0.500, 0.500], [0.875, 0.375, 0.375], [0.375, 0.875, 0.375], [0.375, 0.375, 0.375], [0.375, 0.375, 0.875]]
}